Entry 1:
Entry from the Alexandria database: crystalline TmZr2Co9 at its relaxed geometry (PBE).

Results
Calculated density: 8.94 Mg/m³
Final energy: -7.383 eV per atom
N(E_F): 15.5 states/eV/f.u.

a = 4.8762 Å, b = 4.8762 Å, c = 23.8515 Å
α = 90.00°, β = 90.00°, γ = 120.00°
Space group R-3m (No. 166, hexagonal axes)
Asymmetric unit:
Tm: 0.0000 0.0000 0.0000
Zr: 0.0000 0.0000 0.1392
Co: 0.0000 0.0000 0.3355
Co: 0.0000 0.0000 0.5000
Co: 0.0053 0.5026 0.9163

***

Entry 2:
Entry from the Alexandria database: crystalline Tm2ZrCo at its relaxed geometry (PBE).

Results
Calculated density: 9.15 Mg/m³
ΔE to the lowest computed polymorph: 0.115 eV/atom
N(E_F): 4.7 states/eV/f.u.

a = 3.3324 Å, b = 3.3324 Å, c = 7.9767 Å
α = 90.00°, β = 90.00°, γ = 90.00°
Space group P4/mmm (No. 123)
Asymmetric unit:
Tm: 0.0000 0.0000 0.2008
Zr: 0.5000 0.5000 0.5000
Co: 0.5000 0.5000 0.0000

***

Entry 3:
Entry from the Alexandria database: crystalline Tm3ZrCo8 at its relaxed geometry (PBE).

Results
Calculated density: 10.13 Mg/m³
Final energy: -6.835 eV per atom
N(E_F): 14.3 states/eV/f.u.

a = 4.9860 Å, b = 4.9860 Å, c = 24.4384 Å
α = 90.00°, β = 90.00°, γ = 120.00°
Space group R3m (No. 160, hexagonal axes)
Asymmetric unit:
Tm: 0.0000 0.0000 0.0000
Tm: 0.0000 0.0000 0.1254
Tm: 0.0000 0.0000 0.5003
Zr: 0.0000 0.0000 0.6248
Co: 0.0000 0.0000 0.3124
Co: 0.0000 0.0000 0.8126
Co: 0.0022 0.5011 0.5640
Co: 0.1677 0.3355 0.3946

***

Entry 4:
Entry from the Alexandria database: crystalline Tm2Zr3Co2 at its relaxed geometry (PBE).

Results
Calculated density: 8.23 Mg/m³
Final energy: -7.185 eV per atom
N(E_F): 8.2 states/eV/f.u.

a = 11.2922 Å, b = 3.4540 Å, c = 8.2772 Å
α = 90.00°, β = 114.19°, γ = 90.00°
Space group C2/m (No. 12)
Asymmetric unit:
Tm: 0.1563 0.0000 0.3010
Zr: 0.0000 0.5000 0.5000
Zr: 0.1189 0.5000 0.9338
Co: 0.1551 0.0000 0.7328

***

Entry 5:
Entry from the Alexandria database: crystalline TmZr2Co3 at its relaxed geometry (PBE).

Results
Calculated density: 8.74 Mg/m³
Final energy: -7.431 eV per atom
N(E_F): 4.8 states/eV/f.u.

a = 3.2050 Å, b = 3.2050 Å, c = 9.7709 Å
α = 90.00°, β = 90.00°, γ = 90.00°
Space group P4/mmm (No. 123)
Asymmetric unit:
Tm: 0.0000 0.0000 0.0000
Zr: 0.0000 0.0000 0.3356
Co: 0.5000 0.5000 0.1883
Co: 0.5000 0.5000 0.5000

***

Entry 6:
Entry from the Alexandria database: crystalline Tm3ZrCo4 at its relaxed geometry (PBE).

Results
Calculated density: 9.95 Mg/m³
Final energy: -6.560 eV per atom
N(E_F): 2.2 states/eV/f.u.

a = 3.2623 Å, b = 3.2623 Å, c = 13.0762 Å
α = 90.00°, β = 90.00°, γ = 90.00°
Space group P4/mmm (No. 123)
Asymmetric unit:
Tm: 0.0000 0.0000 0.0000
Tm: 0.0000 0.0000 0.2511
Zr: 0.0000 0.0000 0.5000
Co: 0.5000 0.5000 0.1279
Co: 0.5000 0.5000 0.3884

***

Entry 7:
Entry from the Alexandria database: crystalline TmZr3Co8 at its relaxed geometry (PBE).

Results
Calculated density: 9.00 Mg/m³
Final energy: -7.538 eV per atom
N(E_F): 16.3 states/eV/f.u.

a = 4.9212 Å, b = 4.9212 Å, c = 24.1262 Å
α = 90.00°, β = 90.00°, γ = 120.00°
Space group R3m (No. 160, hexagonal axes)
Asymmetric unit:
Tm: 0.0000 0.0000 0.0000
Zr: 0.0000 0.0000 0.3753
Zr: 0.0000 0.0000 0.4993
Zr: 0.0000 0.0000 0.8742
Co: 0.0000 0.0000 0.1871
Co: 0.0000 0.0000 0.6872
Co: 0.0013 0.5006 0.4385
Co: 0.1676 0.3352 0.2694

***

Entry 8:
Entry from the Alexandria database: crystalline Tm3ZrCo2 at its relaxed geometry (PBE).

Results
Calculated density: 8.63 Mg/m³
Final energy: -6.074 eV per atom
N(E_F): 6.6 states/eV/f.u.

a = 6.4030 Å, b = 12.8298 Å, c = 6.7071 Å
α = 90.00°, β = 90.00°, γ = 90.00°
Space group Ibam (No. 72)
Asymmetric unit:
Tm: 0.0000 0.0000 0.2500
Tm: 0.0000 0.2685 0.2500
Zr: 0.0000 0.5000 0.0000
Co: 0.2258 0.1333 0.0000

***

Entry 9:
Entry from the Alexandria database: crystalline Tm6ZrCo3 at its relaxed geometry (PBE).

Results
Calculated density: 9.26 Mg/m³
Final energy: -5.852 eV per atom
N(E_F): 9.2 states/eV/f.u.

a = 10.4011 Å, b = 12.4815 Å, c = 7.0799 Å
α = 90.00°, β = 90.00°, γ = 90.00°
Space group Cmc2_1 (No. 36)
Asymmetric unit:
Tm: 0.0000 0.0248 0.0000
Tm: 0.0000 0.3219 0.1237
Tm: 0.1659 0.4581 0.5014
Tm: 0.2273 0.1903 0.3598
Zr: 0.0000 0.2242 0.6741
Co: 0.0000 0.4129 0.7957
Co: 0.1947 0.1093 0.7100

***

Entry 10:
Entry from the Alexandria database: crystalline Tm2Zr2Co3 at its relaxed geometry (PBE).

Results
Calculated density: 8.75 Mg/m³
Final energy: -6.944 eV per atom
N(E_F): 5.7 states/eV/f.u.

a = 7.9828 Å, b = 4.6005 Å, c = 7.6748 Å
α = 90.00°, β = 110.23°, γ = 90.00°
Space group C2/m (No. 12)
Asymmetric unit:
Tm: 0.1216 0.0000 0.3654
Zr: 0.1272 0.5000 0.8810
Co: 0.0000 0.5000 0.5000
Co: 0.2455 0.5000 0.2360

***

Entry 11:
Entry from the Alexandria database: crystalline Tm3Zr2Co2 at its relaxed geometry (PBE).

Results
Calculated density: 8.77 Mg/m³
Final energy: -6.561 eV per atom
N(E_F): 7.8 states/eV/f.u.

a = 11.5617 Å, b = 3.4177 Å, c = 8.5726 Å
α = 90.00°, β = 115.56°, γ = 90.00°
Space group C2/m (No. 12)
Asymmetric unit:
Tm: 0.0000 0.0000 0.0000
Tm: 0.1142 0.0000 0.4325
Zr: 0.1741 0.5000 0.8244
Co: 0.1867 0.5000 0.2333

***

Entry 12:
Entry from the Alexandria database: crystalline Tm2ZrCo at its relaxed geometry (PBE).

Results
Calculated density: 8.86 Mg/m³
ΔE to the lowest computed polymorph: 0.000 eV/atom
N(E_F): 4.4 states/eV/f.u.

a = 6.5931 Å, b = 9.1155 Å, c = 6.0868 Å
α = 90.00°, β = 90.00°, γ = 90.00°
Space group Pnma (No. 62)
Asymmetric unit:
Tm: 0.1805 0.0648 0.1778
Zr: 0.0425 0.2500 0.6415
Co: 0.1151 0.7500 0.9750